(1)
# ScTeSe2, relaxed, DFT PBE
# **Formation energy (no corrections)**: -0.625 eV/atom
# **Final energy**: -18.942 eV per cell
# **Fermi-level density of states**: 2.2 states/eV/cell
# **Crystal system**: tetragonal
data_ScTeSe2
_chemical_formula_sum 'Sc1 Te1 Se2'
_cell_length_a 3.676
_cell_length_b 3.676
_cell_length_c 6.783
_cell_angle_alpha 90.00
_cell_angle_beta 90.00
_cell_angle_gamma 90.00
_space_group_name_H-M_alt 'P 4 m m'
_space_group_IT_number 99
_space_group_name_Hall 'P 4 -2'
loop_
_atom_site_label
_atom_site_type_symbol
_atom_site_fract_x
_atom_site_fract_y
_atom_site_fract_z
Sc1 Sc 0.000 0.000 0.000
Te1 Te 0.500 0.500 0.709
Se1 Se 0.000 0.000 0.421
Se2 Se 0.500 0.500 0.130

---

(2)
# Sc3TeSe, relaxed, DFT PBE
# **Relative energy among the computed polymorphs**: 88 meV/atom
# **Formation energy (no corrections)**: -0.976 eV/atom
# **Final energy**: -244.024 eV per cell
# **Fermi-level density of states**: 35.7 states/eV/cell
# **Crystal system**: monoclinic
data_Sc3TeSe
_chemical_formula_sum 'Sc24 Te8 Se8'
_cell_length_a 13.643
_cell_length_b 11.381
_cell_length_c 6.615
_cell_angle_alpha 90.00
_cell_angle_beta 103.43
_cell_angle_gamma 90.00
_space_group_name_H-M_alt 'C 1 2/c 1'
_space_group_IT_number 15
_space_group_name_Hall '-C 2yc'
loop_
_atom_site_label
_atom_site_type_symbol
_atom_site_fract_x
_atom_site_fract_y
_atom_site_fract_z
Sc1 Sc 0.095 0.055 0.429
Sc2 Sc 0.100 0.232 0.961
Sc3 Sc 0.112 0.419 0.466
Te1 Te 0.249 0.101 0.806
Se1 Se 0.000 0.249 0.250
Se2 Se 0.000 0.413 0.750